DFT (PBE) results for an optimized crystal structure of GdHfSb2.

## Properties
Volume in Å³/atom: 30.99
Magnetization in μB per formula unit: 7.26
ΔE_f (raw) in eV per atom: -0.136

Lattice parameters (Å, degrees): 3.773 3.773 10.285 79.43 79.43 60.00
Last column: magnetic moment on the atom in μB.
Positions (direct):
Hf1 0.500 0.500 0.500  0.01
Sb1 0.103 0.103 0.692  -0.01
Sb2 0.897 0.897 0.308  -0.01
Gd1 0.000 0.000 0.000  7.04